Entry 1:
Na2PaO4 | PBE | relaxed

Output
Energy relative to the elements, uncorrected = -2.4218 eV per atom
Calculated volume = 181.2 Å³/cell
M_tot = 0.000 μB/atom

Unit cell a=6.1852 b=6.1852 c=6.1852 alpha=111.90 beta=111.90 gamma=104.71
Closest atoms and distances in Å follow each position.
Sites, in units of the cell vectors:
Na1 0.3750 0.1217 0.2467  6 O 2.30-2.52
Na2 0.8717 0.6250 0.7467  6 O 2.30-2.52
Na3 0.8750 0.1283 0.7533  6 O 2.30-2.52
Na4 0.8783 0.1250 0.2533  6 O 2.30-2.52
Pa1 0.2500 0.7500 0.5000  4 O 2.10
Pa2 0.5000 0.5000 0.0000  4 O 2.10
O1 0.1570 0.4577 0.7034  1 Pa 2.10, 2 Na 2.30-2.31
O2 0.2036 0.0044 0.7966  1 Pa 2.10, 2 Na 2.30-2.31
O3 0.2077 0.4070 0.2034  1 Pa 2.10, 2 Na 2.30-2.31
O4 0.5423 0.2456 0.6993  1 Pa 2.10, 2 Na 2.30-2.31
O5 0.5464 0.8430 0.3007  1 Pa 2.10, 2 Na 2.30-2.31
O6 0.5930 0.7964 0.8007  1 Pa 2.10, 2 Na 2.30-2.31
O7 0.7544 0.4536 0.2966  1 Pa 2.10, 2 Na 2.30-2.31
O8 0.9956 0.7923 0.1993  1 Pa 2.10, 2 Na 2.30-2.31

---

Entry 2:
NaPaO4 | PBE | relaxed

Output
Energy above the most stable polymorph in this dataset = 0 meV per atom
Energy relative to the elements, uncorrected = -2.4075 eV per atom
Calculated volume = 168.9 Å³/cell
M_tot = 0.000 μB/atom

Unit cell a=6.6934 b=4.0156 c=6.3317 alpha=90.00 beta=96.93 gamma=90.00
Closest atoms and distances in Å follow each position.
Sites, in units of the cell vectors:
Na1 0.0000 0.0000 0.0000  7 O 2.43-2.68
Na2 0.5000 0.5000 0.0000  7 O 2.43-2.68
Pa1 0.1093 0.5000 0.5389  1 O 1.96
Pa2 0.6093 0.0000 0.5389  1 O 1.96
O1 0.1477 0.5000 0.8501  1 Pa 1.96
O2 0.2498 0.0000 0.3644  1 O 1.48
O3 0.4098 0.0000 0.2222  1 O 1.48
O4 0.4570 0.5000 0.5822  3 Pa 2.28-2.31, 1 O 2.53
O5 0.6477 0.0000 0.8501  1 Pa 1.96
O6 0.7498 0.5000 0.3644  1 O 1.48
O7 0.9098 0.5000 0.2222  1 O 1.48
O8 0.9570 0.0000 0.5822  3 Pa 2.28-2.31, 1 O 2.53

---

Entry 3:
Na3Pa2O7 | PBE | relaxed

Output
Energy relative to the elements, uncorrected = -2.6433 eV per atom
Calculated volume = 199.7 Å³/cell
M_tot = 0.000 μB/atom

Unit cell a=10.8621 b=10.8621 c=10.8621 alpha=156.74 beta=156.74 gamma=33.13
Closest atoms and distances in Å follow each position.
Sites, in units of the cell vectors:
Na1 0.0000 0.0000 0.0000  12 O 3.04-3.10
Na2 0.1916 0.1916 0.0000  1 O 2.25
Na3 0.8084 0.8084 0.0000  1 O 2.25
Pa1 0.3960 0.3960 0.0000  6 O 2.00-2.19
Pa2 0.6040 0.6040 0.0000  6 O 2.00-2.19
O1 0.1014 0.6014 0.5000  2 Pa 2.19
O2 0.2997 0.2997 0.0000  1 Pa 2.00
O3 0.3986 0.8986 0.5000  2 Pa 2.19
O4 0.5000 0.5000 0.0000  2 Pa 2.17
O5 0.6014 0.1014 0.5000  2 Pa 2.19
O6 0.7003 0.7003 0.0000  1 Pa 2.00
O7 0.8986 0.3986 0.5000  2 Pa 2.19

---

Entry 4:
NaPaO3 | PBE | relaxed

Output
Energy relative to the elements, uncorrected = -2.8778 eV per atom
Calculated volume = 164.8 Å³/cell
M_tot = 0.000 μB/atom

Unit cell a=6.8253 b=6.8253 c=7.2036 alpha=101.33 beta=101.33 gamma=30.10
Closest atoms and distances in Å follow each position.
Sites, in units of the cell vectors:
Na1 0.1430 0.1430 0.3876  5 O 2.31-2.56
Na2 0.8570 0.8570 0.6124  5 O 2.31-2.56
Pa1 0.3668 0.3668 0.1490  3 O 1.97-2.21
Pa2 0.6332 0.6332 0.8510  3 O 1.97-2.21
O1 0.0341 0.0341 0.7726  2 Pa 2.21, 1 Na 2.39
O2 0.1895 0.1895 0.0596  3 Pa 2.29-2.34, 1 Na 2.56
O3 0.3309 0.3309 0.4016  1 Pa 1.97
O4 0.6691 0.6691 0.5984  1 Pa 1.97
O5 0.8105 0.8105 0.9404  3 Pa 2.29-2.34, 1 Na 2.56
O6 0.9659 0.9659 0.2274  2 Pa 2.21, 1 Na 2.39

---

Entry 5:
Na7PaO6 | PBE | relaxed

Output
Energy relative to the elements, uncorrected = -1.9435 eV per atom
Calculated volume = 207.2 Å³/cell
M_tot = 0.000 μB/atom

Unit cell a=6.6565 b=6.6565 c=6.6565 alpha=59.70 beta=59.70 gamma=59.70
Closest atoms and distances in Å follow each position.
Sites, in units of the cell vectors:
Na1 0.0000 0.0000 0.0000  3 O 2.44
Na2 0.0579 0.4655 0.8508  4 O 2.27-2.42
Na3 0.2970 0.8269 0.5922  4 O 2.34-2.38
Na4 0.4655 0.8508 0.0579  4 O 2.27-2.42
Na5 0.5922 0.2970 0.8269  4 O 2.34-2.38
Na6 0.8269 0.5922 0.2970  4 O 2.34-2.38
Na7 0.8508 0.0579 0.4655  4 O 2.27-2.42
Pa1 0.3488 0.3488 0.3488  6 O 2.20-2.26
O1 0.0107 0.2326 0.5722  1 Pa 2.26, 5 Na 2.34-2.44
O2 0.1587 0.6987 0.4231  1 Pa 2.20, 4 Na 2.27-2.39
O3 0.2326 0.5722 0.0107  1 Pa 2.26, 5 Na 2.34-2.44
O4 0.4231 0.1587 0.6987  1 Pa 2.20, 4 Na 2.27-2.39
O5 0.5722 0.0107 0.2326  1 Pa 2.26, 5 Na 2.34-2.44
O6 0.6987 0.4231 0.1587  1 Pa 2.20, 4 Na 2.27-2.39

---

Entry 6:
Na3PaO4 | PBE | relaxed

Output
Energy above the most stable polymorph in this dataset = 74 meV per atom
Energy relative to the elements, uncorrected = -2.4396 eV per atom
Calculated volume = 260.9 Å³/cell
M_tot = 0.000 μB/atom

Unit cell a=4.5889 b=8.0121 c=7.0951 alpha=90.00 beta=90.00 gamma=90.00
Closest atoms and distances in Å follow each position.
Sites, in units of the cell vectors:
Na1 0.2500 0.0169 0.1524  5 O 2.34-2.54
Na2 0.2500 0.4831 0.1524  5 O 2.34-2.54
Na3 0.2500 0.7500 0.7012  5 O 2.34-2.52
Na4 0.7500 0.2500 0.2988  5 O 2.34-2.52
Na5 0.7500 0.5169 0.8476  5 O 2.34-2.54
Na6 0.7500 0.9831 0.8476  5 O 2.34-2.54
Pa1 0.2500 0.2500 0.6540  5 O 2.08-2.29
Pa2 0.7500 0.7500 0.3460  5 O 2.08-2.29
O1 0.2500 0.0352 0.8189  1 Pa 2.08
O2 0.2500 0.2500 0.3612  1 Pa 2.08
O3 0.2500 0.4648 0.8189  1 Pa 2.08
O4 0.2500 0.7500 0.3462  2 Pa 2.29, 3 Na 2.52-2.54
O5 0.7500 0.2500 0.6538  2 Pa 2.29, 3 Na 2.52-2.54
O6 0.7500 0.5352 0.1811  1 Pa 2.08
O7 0.7500 0.7500 0.6388  1 Pa 2.08
O8 0.7500 0.9648 0.1811  1 Pa 2.08

---

Entry 7:
NaPaPbO6 | PBE | relaxed

Output
Energy relative to the elements, uncorrected = -1.6875 eV per atom
Calculated volume = 136.3 Å³/cell
M_tot = 0.226 μB/atom

Unit cell a=5.6925 b=5.6925 c=4.8585 alpha=90.00 beta=90.00 gamma=120.00
Closest atoms and distances in Å follow each position.
Sites, in units of the cell vectors:
Na1 0.0000 0.0000 0.0000  6 O 2.41
Pa1 0.6667 0.3333 0.5000  6 O 2.17
Pb1 0.3333 0.6667 0.0000  6 O 2.20
O1 0.3688 0.0056 0.2477  1 Pa 2.17, 1 Pb 2.20, 1 Na 2.41
O2 0.3688 0.3632 0.7523  1 Pa 2.17, 1 Pb 2.20, 1 Na 2.41
O3 0.6368 0.0056 0.7523  1 Pa 2.17, 1 Pb 2.20, 1 Na 2.41
O4 0.6368 0.6312 0.2477  1 Pa 2.17, 1 Pb 2.20, 1 Na 2.41
O5 0.9944 0.3632 0.2477  1 Pa 2.17, 1 Pb 2.20, 1 Na 2.41
O6 0.9944 0.6312 0.7523  1 Pa 2.17, 1 Pb 2.20, 1 Na 2.41

---

Entry 8:
Na2PaPbO5 | PBE | relaxed

Output
Energy relative to the elements, uncorrected = -2.0319 eV per atom
Calculated volume = 157.8 Å³/cell
M_tot = 0.000 μB/atom

Unit cell a=4.2286 b=4.2286 c=8.8228 alpha=90.00 beta=90.00 gamma=90.00
Closest atoms and distances in Å follow each position.
Sites, in units of the cell vectors:
Na1 0.0000 0.0000 0.2388  1 O 2.30
Na2 0.0000 0.0000 0.7612  1 O 2.30
Pa1 0.5000 0.5000 0.0000  6 O 2.11-2.17
Pb1 0.5000 0.5000 0.5000  2 O 2.25
O1 0.0000 0.0000 0.5000  2 Na 2.30
O2 0.0000 0.5000 0.0000  2 Pa 2.11
O3 0.5000 0.0000 0.0000  2 Pa 2.11
O4 0.5000 0.5000 0.2455  1 Pa 2.17, 1 Pb 2.25
O5 0.5000 0.5000 0.7545  1 Pa 2.17, 1 Pb 2.25

---

Entry 9:
NaPaPb2O8 | PBE | relaxed

Output
Energy relative to the elements, uncorrected = -1.4324 eV per atom
Calculated volume = 165.9 Å³/cell
M_tot = 0.172 μB/atom

Unit cell a=6.7879 b=6.7879 c=6.7879 alpha=132.69 beta=132.69 gamma=69.15
Closest atoms and distances in Å follow each position.
Sites, in units of the cell vectors:
Na1 0.0000 0.0000 0.0000  8 O 2.45-2.53
Pa1 0.2500 0.7500 0.5000  8 O 2.27-2.33
Pb1 0.5000 0.5000 0.0000  4 O 2.17
Pb2 0.7500 0.2500 0.5000  4 O 2.14
O1 0.0837 0.1128 0.4944  1 Pb 2.14, 1 Pa 2.33
O2 0.1961 0.6524 0.0716  1 Pb 2.17, 1 Pa 2.27
O3 0.3476 0.4192 0.5437  1 Pb 2.17, 1 Pa 2.27
O4 0.4106 0.9163 0.0290  1 Pb 2.14, 1 Pa 2.33
O5 0.5808 0.1245 0.9284  1 Pb 2.17, 1 Pa 2.27
O6 0.6184 0.5894 0.5056  1 Pb 2.14, 1 Pa 2.33
O7 0.8755 0.8039 0.4563  1 Pb 2.17, 1 Pa 2.27
O8 0.8872 0.3816 0.9710  1 Pb 2.14, 1 Pa 2.33

---

Entry 10:
NaPa2PbO8 | PBE | relaxed

Output
Energy relative to the elements, uncorrected = -2.4362 eV per atom
Calculated volume = 183.4 Å³/cell
M_tot = 0.000 μB/atom

Unit cell a=5.0581 b=5.0581 c=7.1719 alpha=90.00 beta=90.00 gamma=91.29
Closest atoms and distances in Å follow each position.
Sites, in units of the cell vectors:
Na1 0.0000 0.0000 0.0000  6 O 2.34-2.42
Pa1 0.5000 0.5000 0.2459  6 O 2.09-2.27
Pa2 0.5000 0.5000 0.7541  6 O 2.09-2.27
Pb1 0.0000 0.0000 0.5000  6 O 2.19-2.26
O1 0.2049 0.2049 0.2704  1 Pa 2.09, 1 Pb 2.19
O2 0.2049 0.2049 0.7296  1 Pa 2.09, 1 Pb 2.19
O3 0.3125 0.6875 0.5000  1 Pb 2.26, 2 Pa 2.27
O4 0.3235 0.6765 0.0000  2 Pa 2.18, 1 Na 2.34
O5 0.6765 0.3235 0.0000  2 Pa 2.18, 1 Na 2.34
O6 0.6875 0.3125 0.5000  1 Pb 2.26, 2 Pa 2.27
O7 0.7951 0.7951 0.2704  1 Pa 2.09, 1 Pb 2.19
O8 0.7951 0.7951 0.7296  1 Pa 2.09, 1 Pb 2.19

---

Entry 11:
Na4PaPd3O8 | PBE | relaxed

Output
Energy relative to the elements, uncorrected = -1.5614 eV per atom
Calculated volume = 220.7 Å³/cell
M_tot = 0.039 μB/atom

Unit cell a=7.1273 b=7.1273 c=6.4268 alpha=115.61 beta=115.61 gamma=50.31
Closest atoms and distances in Å follow each position.
Sites, in units of the cell vectors:
Na1 0.0000 0.0000 0.0000  6 O 2.43-2.49
Na2 0.0000 0.5000 0.5000  6 O 2.40-2.50
Na3 0.5000 0.0000 0.5000  6 O 2.40-2.50
Na4 0.5000 0.5000 0.0000  4 O 2.37
Pa1 0.0000 0.0000 0.5000  6 O 2.14-2.37
Pd1 0.0000 0.5000 0.0000  4 O 2.00-2.09
Pd2 0.5000 0.0000 0.0000  4 O 2.00-2.09
Pd3 0.5000 0.5000 0.5000  4 O 2.08
O1 0.2068 0.2068 0.7471  2 Pd 2.09
O2 0.2185 0.2185 0.1663  2 Pd 2.00
O3 0.2194 0.7041 0.6816  1 Pd 2.08, 1 Pa 2.14
O4 0.2959 0.7806 0.3184  1 Pd 2.08, 1 Pa 2.14
O5 0.7041 0.2194 0.6816  1 Pd 2.08, 1 Pa 2.14
O6 0.7806 0.2959 0.3184  1 Pd 2.08, 1 Pa 2.14
O7 0.7815 0.7815 0.8337  2 Pd 2.00
O8 0.7932 0.7932 0.2529  2 Pd 2.09

---

Question: Which value of calculated volume does entry 7 give?
Answer: 136.3 Å³/cell

---

Question: The highest calculated volume belongs to which entry?
Answer: Na3PaO4

---

What did the second record say?
NaPaO4 | PBE | relaxed

Output
Energy above the most stable polymorph in this dataset = 0 meV per atom
Energy relative to the elements, uncorrected = -2.4075 eV per atom
Calculated volume = 168.9 Å³/cell
M_tot = 0.000 μB/atom

Unit cell a=6.6934 b=4.0156 c=6.3317 alpha=90.00 beta=96.93 gamma=90.00
Closest atoms and distances in Å follow each position.
Sites, in units of the cell vectors:
Na1 0.0000 0.0000 0.0000  7 O 2.43-2.68
Na2 0.5000 0.5000 0.0000  7 O 2.43-2.68
Pa1 0.1093 0.5000 0.5389  1 O 1.96
Pa2 0.6093 0.0000 0.5389  1 O 1.96
O1 0.1477 0.5000 0.8501  1 Pa 1.96
O2 0.2498 0.0000 0.3644  1 O 1.48
O3 0.4098 0.0000 0.2222  1 O 1.48
O4 0.4570 0.5000 0.5822  3 Pa 2.28-2.31, 1 O 2.53
O5 0.6477 0.0000 0.8501  1 Pa 1.96
O6 0.7498 0.5000 0.3644  1 O 1.48
O7 0.9098 0.5000 0.2222  1 O 1.48
O8 0.9570 0.0000 0.5822  3 Pa 2.28-2.31, 1 O 2.53

---

Question: Which formula does entry 2 have?
Answer: NaPaO4